HfTiSe2 | SCAN | PBEsol geometry

Unit cell a=6.453 b=6.453 c=6.453 alpha=90.00 beta=90.00 gamma=90.00
Space group Fm-3m (No. 225)
Unique sites:
Hf 0.000 0.000 0.000
Ti 0.000 0.000 0.500
Se 0.250 0.250 0.250

Total moment ... 0.000 μB/cell
Relative energy among the computed polymorphs ... 0 meV/atom
Raw formation energy ... -0.965 eV per atom
Theoretical density ... 9.50 g cm⁻³